[1]
# LaZn3Ag9 PBE relaxed
data_LaZn3Ag9
_cell_length_a 5.345
_cell_length_b 7.110
_cell_length_c 7.266
_cell_angle_alpha 83.18
_cell_angle_beta 68.42
_cell_angle_gamma 71.17
_symmetry_space_group_name_H-M 'P 1'
_symmetry_Int_Tables_number 1
_symmetry_space_group_name_Hall 'P 1'
loop_
_atom_site_label
_atom_site_fract_x
_atom_site_fract_y
_atom_site_fract_z
_atom_site_occupancy
La1 0.000 0.000 0.000 1
Zn1 0.500 0.500 0.000 1
Zn2 0.000 0.000 0.500 1
Zn3 0.500 0.000 0.500 1
Ag1 0.701 0.784 0.780 1
Ag2 0.299 0.216 0.220 1
Ag3 0.519 0.216 0.780 1
Ag4 0.481 0.784 0.220 1
Ag5 0.669 0.344 0.358 1
Ag6 0.331 0.656 0.642 1
Ag7 0.973 0.656 0.358 1
Ag8 0.027 0.344 0.642 1
Ag9 0.000 0.500 0.000 1
# **Symmetry**: C2/m
# **Crystal system**: monoclinic


[2]
# La2ZnAg PBE relaxed
data_La2ZnAg
_cell_length_a 5.159
_cell_length_b 5.159
_cell_length_c 5.159
_cell_angle_alpha 60.00
_cell_angle_beta 60.00
_cell_angle_gamma 60.00
_symmetry_space_group_name_H-M 'P 1'
_symmetry_Int_Tables_number 1
_symmetry_space_group_name_Hall 'P 1'
loop_
_atom_site_label
_atom_site_fract_x
_atom_site_fract_y
_atom_site_fract_z
_atom_site_occupancy
Ag1 0.500 0.500 0.500 1
La1 0.000 0.000 0.000 1
La2 0.750 0.750 0.750 1
Zn1 0.250 0.250 0.250 1
# **Symmetry**: F-43m
# **Crystal system**: cubic


[3]
# LaZn2Ag2 PBE relaxed
data_LaZn2Ag2
_cell_length_a 5.480
_cell_length_b 6.020
_cell_length_c 7.970
_cell_angle_alpha 81.22
_cell_angle_beta 70.14
_cell_angle_gamma 62.99
_symmetry_space_group_name_H-M 'P 1'
_symmetry_Int_Tables_number 1
_symmetry_space_group_name_Hall 'P 1'
loop_
_atom_site_label
_atom_site_fract_x
_atom_site_fract_y
_atom_site_fract_z
_atom_site_occupancy
La1 0.875 0.751 0.250 1
La2 0.125 0.249 0.750 1
Zn1 0.577 0.350 0.249 1
Zn2 0.828 0.847 0.750 1
Zn3 0.172 0.153 0.250 1
Zn4 0.423 0.650 0.751 1
Ag1 0.480 0.751 0.039 1
Ag2 0.730 0.248 0.539 1
Ag3 0.520 0.249 0.961 1
Ag4 0.270 0.752 0.461 1
# **Energy relative to the lowest polymorph listed for this composition**: 63 meV/atom
# **Symmetry**: P-1
# **Crystal system**: triclinic


[4]
# LaZnAg2 PBE relaxed
data_LaZnAg2
_cell_length_a 4.607
_cell_length_b 3.892
_cell_length_c 10.335
_cell_angle_alpha 100.85
_cell_angle_beta 90.00
_cell_angle_gamma 90.00
_symmetry_space_group_name_H-M 'P 1'
_symmetry_Int_Tables_number 1
_symmetry_space_group_name_Hall 'P 1'
loop_
_atom_site_label
_atom_site_fract_x
_atom_site_fract_y
_atom_site_fract_z
_atom_site_occupancy
La1 0.250 0.896 0.792 1
La2 0.750 0.104 0.208 1
Zn1 0.750 0.331 0.662 1
Zn2 0.250 0.669 0.338 1
Ag1 0.250 0.259 0.518 1
Ag2 0.750 0.741 0.482 1
Ag3 0.750 0.462 0.924 1
Ag4 0.250 0.538 0.076 1
# **Symmetry**: Cmcm
# **Crystal system**: orthorhombic


[5]
# La2ZnAg PBE relaxed
data_La2ZnAg
_cell_length_a 5.186
_cell_length_b 3.771
_cell_length_c 5.493
_cell_angle_alpha 89.99
_cell_angle_beta 90.00
_cell_angle_gamma 90.00
_symmetry_space_group_name_H-M 'P 1'
_symmetry_Int_Tables_number 1
_symmetry_space_group_name_Hall 'P 1'
loop_
_atom_site_label
_atom_site_fract_x
_atom_site_fract_y
_atom_site_fract_z
_atom_site_occupancy
Zn1 0.000 0.625 0.431 1
Ag1 0.500 0.625 0.813 1
La1 0.000 0.125 0.913 1
La2 0.500 0.125 0.343 1
# **Symmetry**: Pmm2
# **Crystal system**: orthorhombic


[6]
# La2ZnAg PBE relaxed
data_La2ZnAg
_cell_length_a 3.775
_cell_length_b 3.775
_cell_length_c 7.703
_cell_angle_alpha 90.00
_cell_angle_beta 90.00
_cell_angle_gamma 90.00
_symmetry_space_group_name_H-M 'P 1'
_symmetry_Int_Tables_number 1
_symmetry_space_group_name_Hall 'P 1'
loop_
_atom_site_label
_atom_site_fract_x
_atom_site_fract_y
_atom_site_fract_z
_atom_site_occupancy
Ag1 0.500 0.500 0.711 1
La1 0.000 0.000 0.954 1
La2 0.500 0.500 0.299 1
Zn1 0.000 0.000 0.536 1
# **Symmetry**: P4mm
# **Crystal system**: tetragonal


Spin magnetization readings, ordered: 0.0000; 0.0000; 0.0000; 0.0000; 0.0000; 0.2027 μB/atom
Formation energy readings, ordered: -0.128; -0.062; -0.182; -0.253; -0.278; -0.127 eV per atom